Record 1
Crystalline La9Dy2Ho at its relaxed geometry. Source: Alexandria via LeMat-Bulk, functional GGA-PBE.

POSCAR file:
```
La9Dy2Ho
1.0
-2.749 -3.517 -2.669
4.353 -2.682 -0.951
-2.200 -8.211 13.087
La Dy Ho
9 2 1
Direct
0.500 0.500 0.000
0.500 0.500 0.333
0.500 0.500 0.667
0.500 0.000 0.167
0.500 0.000 0.500
0.500 0.000 0.833
0.000 0.500 0.167
0.000 0.500 0.500
0.000 0.500 0.833
0.000 0.000 0.333
0.000 0.000 0.667
0.000 0.000 0.000
```

Crystal system: tetragonal
Density of states at the Fermi level, states/eV per atom: 1.296
ρ, Mg/m³: 6.8
Symmetry: P4/mmm (123)
Formation enthalpy at 0 K, meV/atom: 7

---

Record 2
Crystalline La4DyHo4 at its relaxed geometry. Source: Alexandria via LeMat-Bulk, functional GGA-PBE.

POSCAR file:
```
La4DyHo4
1.0
5.137 0.000 0.000
2.568 7.678 0.000
2.568 0.000 7.678
La Dy Ho
4 1 4
Direct
0.667 0.666 0.000
0.333 0.334 0.000
0.667 0.000 0.666
0.333 0.000 0.334
0.000 0.000 0.000
0.664 0.336 0.336
0.336 0.664 0.664
0.000 0.664 0.336
0.000 0.336 0.664
```

Crystal system: tetragonal
Density of states at the Fermi level, states/eV per atom: 1.513
ρ, Mg/m³: 7.6
Symmetry: I4/mmm (139)
Formation enthalpy at 0 K, meV/atom: 30
ΔE to the lowest computed polymorph, eV/atom: 0.000

---

Record 3
Crystalline La4DyHo6 at its relaxed geometry. Source: Alexandria via LeMat-Bulk, functional GGA-PBE.

POSCAR file:
```
La4DyHo6
1.0
-6.039 -6.926 3.134
3.732 3.274 -8.343
9.536 1.568 -0.927
La Dy Ho
4 1 6
Direct
0.000 0.633 0.013
0.381 0.367 0.367
0.000 0.013 0.633
0.619 0.987 0.987
0.000 0.000 0.000
0.000 0.792 0.443
0.000 0.443 0.792
0.349 0.557 0.557
0.500 0.500 0.000
0.651 0.208 0.208
0.500 0.000 0.500
```

Crystal system: tetragonal
Density of states at the Fermi level, states/eV per atom: 1.378
ρ, Mg/m³: 7.3
Symmetry: I-42m (121)
Formation enthalpy at 0 K, meV/atom: 293

---

Record 4
Crystalline La2Dy3Ho at its relaxed geometry. Source: Alexandria via LeMat-Bulk, functional GGA-PBE.

POSCAR file:
```
La2Dy3Ho
1.0
6.630 0.240 1.045
-1.776 8.792 1.419
-0.422 -0.236 6.698
La Dy Ho
4 6 2
Direct
0.876 0.625 0.625
0.375 0.125 0.124
0.625 0.875 0.876
0.124 0.375 0.375
0.583 0.250 0.583
0.417 0.750 0.417
0.167 0.000 0.667
0.667 0.500 0.167
0.333 0.500 0.833
0.833 0.000 0.333
0.083 0.750 0.083
0.917 0.250 0.917
```

Crystal system: monoclinic
Density of states at the Fermi level, states/eV per atom: 1.558
ρ, Mg/m³: 7.7
Symmetry: C2/c (15)
Formation enthalpy at 0 K, meV/atom: 69
ΔE to the lowest computed polymorph, eV/atom: 0.000

---

Record 5
Crystalline LaDy6Ho at its relaxed geometry. Source: Alexandria via LeMat-Bulk, functional GGA-PBE.

POSCAR file:
```
LaDy6Ho
1.0
5.047 0.000 0.000
0.000 5.047 0.000
0.000 0.000 10.093
La Dy Ho
1 6 1
Direct
0.000 0.000 0.000
0.500 0.500 0.000
0.500 0.500 0.500
0.500 0.000 0.255
0.500 0.000 0.745
0.000 0.500 0.255
0.000 0.500 0.745
0.000 0.000 0.500
```

Crystal system: tetragonal
Density of states at the Fermi level, states/eV per atom: 1.520
ρ, Mg/m³: 8.3
Symmetry: P4/mmm (123)
Formation enthalpy at 0 K, meV/atom: 28
ΔE to the lowest computed polymorph, eV/atom: 0.000

---

Record 6
Crystalline La6Dy3Ho at its relaxed geometry. Source: Alexandria via LeMat-Bulk, functional GGA-PBE.

POSCAR file:
```
La6Dy3Ho
1.0
5.508 0.000 -1.180
0.000 10.147 0.000
-2.870 0.000 13.414
La Dy Ho
12 6 2
Direct
0.328 0.819 0.828
0.517 0.813 0.518
0.223 0.445 0.222
0.777 0.555 0.778
0.483 0.187 0.482
0.672 0.181 0.172
0.828 0.681 0.328
0.017 0.687 0.018
0.723 0.055 0.722
0.277 0.945 0.278
0.983 0.313 0.982
0.172 0.319 0.672
0.404 0.145 0.904
0.500 0.500 0.000
0.596 0.855 0.096
0.904 0.355 0.404
0.000 0.000 0.500
0.096 0.645 0.596
0.500 0.500 0.500
0.000 0.000 0.000
```

Crystal system: monoclinic
Density of states at the Fermi level, states/eV per atom: 1.471
ρ, Mg/m³: 6.9
Symmetry: P2_1/c (14)
Formation enthalpy at 0 K, meV/atom: 182

---

Record 7
Crystalline La2Dy9Ho at its relaxed geometry. Source: Alexandria via LeMat-Bulk, functional GGA-PBE.

POSCAR file:
```
La2Dy9Ho
1.0
5.058 0.000 0.000
0.000 5.058 0.000
0.000 0.000 15.194
La Dy Ho
2 9 1
Direct
0.000 0.000 0.333
0.000 0.000 0.667
0.500 0.500 0.000
0.500 0.500 0.331
0.500 0.500 0.669
0.500 0.000 0.163
0.500 0.000 0.500
0.500 0.000 0.837
0.000 0.500 0.163
0.000 0.500 0.500
0.000 0.500 0.837
0.000 0.000 0.000
```

Crystal system: tetragonal
Density of states at the Fermi level, states/eV per atom: 1.541
ρ, Mg/m³: 8.1
Symmetry: P4/mmm (123)
Formation enthalpy at 0 K, meV/atom: 29
ΔE to the lowest computed polymorph, eV/atom: 0.000

---

Record 8
Crystalline La7DyHo4 at its relaxed geometry. Source: Alexandria via LeMat-Bulk, functional GGA-PBE.

POSCAR file:
```
La7DyHo4
1.0
7.061 1.781 0.954
5.302 7.459 3.321
-1.388 0.325 9.697
La Dy Ho
7 1 4
Direct
0.746 0.498 0.003
0.254 0.502 0.997
0.193 0.055 0.664
0.807 0.945 0.336
0.943 0.557 0.666
0.500 0.000 0.000
0.057 0.443 0.334
0.000 0.000 0.000
0.551 0.449 0.335
0.449 0.551 0.665
0.702 0.056 0.668
0.298 0.944 0.332
```

Crystal system: triclinic
Density of states at the Fermi level, states/eV per atom: 1.513
ρ, Mg/m³: 7.2
Symmetry: P-1 (2)
Formation enthalpy at 0 K, meV/atom: 14
ΔE to the lowest computed polymorph, eV/atom: 0.000

---

Number 1: volume 422 Å³/cell. Number 2: volume 303 Å³/cell. Number 3: volume 387 Å³/cell. Number 4: volume 400 Å³/cell. Number 5: volume 257 Å³/cell. Number 6: volume 715 Å³/cell. Number 7: volume 389 Å³/cell. Number 8: volume 415 Å³/cell.